(1)
The following is a DFT calculation (PBE) of a relaxed CaLu2Au crystal.

Unit cell a=3.5576 b=3.5576 c=9.1638 alpha=90.00 beta=90.00 gamma=90.00
Space group P4/mmm (No. 123)
One atom of each set of equivalent atoms:
1 Ca 0.0000 0.0000 0.0000 x1
2 Lu 0.5000 0.5000 0.3161 x2
3 Au 0.0000 0.0000 0.5000 x1

## Properties
**ΔE_f**: -1.5 eV per formula unit
**ΔE to the lowest computed polymorph**: 0 meV per atom
**Total DFT energy (no corrections)**: -15.79 eV/f.u.
**Density**: 8.40 g/cm³

=====

(2)
The following is a DFT calculation (PBE) of a relaxed ClF crystal.

Unit cell a=5.1984 b=5.1984 c=5.1984 alpha=90.00 beta=90.00 gamma=90.00
Space group Fm-3m (No. 225)
One atom of each set of equivalent atoms:
1 Cl 0.0000 0.0000 0.0000 x4
2 F 0.0000 0.0000 0.5000 x4

## Properties
**Energy relative to the elements, uncorrected**: 0.465 eV per atom
**ΔE to the lowest computed polymorph**: 874 meV per atom
**Total DFT energy (no corrections)**: -2.79 eV/f.u.
**Density**: 2.57 g/cm³